Material: Cr2Pb2O7
Method: DFT, PBE with a Hubbard U
State: relaxed

a = 7.6126 Å, b = 9.7979 Å, c = 5.0523 Å
α = 90.00°, β = 100.16°, γ = 90.00°
Space group C2/m (No. 12)
Inequivalent atoms, fractional coordinates:
Cr (0.2212, 0.0000, 0.4296) (multiplicity 4)
Pb (0.0000, 0.3041, 0.0000) (multiplicity 4)
O (0.0000, 0.0000, 0.5000) (multiplicity 2)
O (0.1285, 0.5000, 0.2693) (multiplicity 4)
O (0.2468, 0.1436, 0.2464) (multiplicity 8)

## Properties
Calculated total energy in eV/atom: -6.461